Record 1
# Ca2La

A relaxed Ca2La crystal (PBE, the Alexandria database).

Properties
Polymorph energy (0 for the lowest one): 207.7 meV/atom
DOS(E_F): 2.172 states/eV/atom
Final energy: -2.728 eV per atom
Calculated formation energy: 248.8 meV/atom

abc: 7.126 7.126 7.126
angles: 60.00 60.00 60.00
Fractional coordinates of all 6 atoms:
Ca (0.125, 0.625, 0.625)
Ca (0.625, 0.125, 0.625)
Ca (0.625, 0.625, 0.625)
Ca (0.625, 0.625, 0.125)
La (0.000, 0.000, 0.000)
La (0.250, 0.250, 0.250)

=====

Record 2
# CaLa5

A relaxed CaLa5 crystal (PBE, the Alexandria database).

Properties
Polymorph energy (0 for the lowest one): 156.1 meV/atom
DOS(E_F): 1.598 states/eV/atom
Final energy: -4.264 eV per atom
Calculated formation energy: 175.6 meV/atom

abc: 6.923 6.923 6.923
angles: 60.00 60.00 60.00
Fractional coordinates of all 6 atoms:
Ca (0.000, 0.000, 0.000)
La (0.250, 0.250, 0.250)
La (0.623, 0.623, 0.623)
La (0.623, 0.623, 0.132)
La (0.132, 0.623, 0.623)
La (0.623, 0.132, 0.623)

=====

Record 3
# CaLa5

A relaxed CaLa5 crystal (PBE, the Alexandria database).

Properties
Polymorph energy (0 for the lowest one): 33.8 meV/atom
DOS(E_F): 1.607 states/eV/atom
Final energy: -4.386 eV per atom
Calculated formation energy: 53.3 meV/atom

abc: 6.597 6.597 6.030
angles: 90.00 90.00 120.00
Fractional coordinates of all 6 atoms:
Ca (0.333, 0.000, 0.500)
La (0.981, 0.000, 0.000)
La (0.685, 0.352, 0.000)
La (0.333, 0.648, 0.000)
La (0.000, 0.333, 0.500)
La (0.667, 0.667, 0.500)

=====

Record 4
# Ca2La

A relaxed Ca2La crystal (PBE, the Alexandria database).

Properties
Polymorph energy (0 for the lowest one): 29.5 meV/atom
DOS(E_F): 1.828 states/eV/atom
Final energy: -2.906 eV per atom
Calculated formation energy: 70.6 meV/atom

abc: 3.772 3.772 8.877
angles: 102.27 102.27 90.00
Fractional coordinates of all 3 atoms:
Ca (0.663, 0.663, 0.326)
Ca (0.337, 0.337, 0.674)
La (0.000, 0.000, 0.000)

=====

Record 5
# Ca2La

A relaxed Ca2La crystal (PBE, the Alexandria database).

Properties
Polymorph energy (0 for the lowest one): 37.2 meV/atom
DOS(E_F): 1.377 states/eV/atom
Final energy: -2.899 eV per atom
Calculated formation energy: 78.3 meV/atom

abc: 6.136 6.136 3.655
angles: 90.00 90.00 120.00
Fractional coordinates of all 3 atoms:
Ca (0.667, 0.333, 0.380)
Ca (0.333, 0.667, 0.620)
La (0.000, 0.000, 0.000)

=====

Record 6
# CaLa

A relaxed CaLa crystal (PBE, the Alexandria database).

Properties
Polymorph energy (0 for the lowest one): 1080.6 meV/atom
DOS(E_F): 1.896 states/eV/atom
Final energy: -2.363 eV per atom
Calculated formation energy: 1101.8 meV/atom

abc: 6.094 6.094 6.756
angles: 90.00 90.00 120.00
Fractional coordinates of all 4 atoms:
Ca (0.333, 0.667, 0.250)
Ca (0.667, 0.333, 0.750)
La (0.333, 0.667, 0.750)
La (0.667, 0.333, 0.250)

=====

Record 7
# CaLa

A relaxed CaLa crystal (PBE, the Alexandria database).

Properties
Polymorph energy (0 for the lowest one): 389.6 meV/atom
DOS(E_F): 0.910 states/eV/atom
Final energy: -3.054 eV per atom
Calculated formation energy: 410.8 meV/atom

abc: 6.867 6.867 6.845
angles: 90.00 90.00 90.00
Fractional coordinates of all 8 atoms:
Ca (0.826, 0.174, 0.000)
Ca (0.326, 0.326, 0.500)
Ca (0.674, 0.674, 0.500)
Ca (0.174, 0.826, 0.000)
La (0.652, 0.652, 0.000)
La (0.152, 0.848, 0.500)
La (0.848, 0.152, 0.500)
La (0.348, 0.348, 0.000)

=====

Record 8
# CaLa

A relaxed CaLa crystal (PBE, the Alexandria database).

Properties
Polymorph energy (0 for the lowest one): 213.8 meV/atom
DOS(E_F): 1.635 states/eV/atom
Final energy: -3.230 eV per atom
Calculated formation energy: 235.0 meV/atom

abc: 12.373 12.373 3.657
angles: 90.00 90.00 120.00
Fractional coordinates of all 12 atoms:
Ca (0.620, 0.142, 0.250)
Ca (0.478, 0.620, 0.750)
Ca (0.858, 0.478, 0.250)
Ca (0.380, 0.858, 0.750)
Ca (0.522, 0.380, 0.250)
Ca (0.142, 0.522, 0.750)
La (0.948, 0.207, 0.250)
La (0.741, 0.948, 0.750)
La (0.793, 0.741, 0.250)
La (0.052, 0.793, 0.750)
La (0.259, 0.052, 0.250)
La (0.207, 0.259, 0.750)

=====

Record 9
# Ca3La

A relaxed Ca3La crystal (PBE, the Alexandria database).

Properties
Polymorph energy (0 for the lowest one): 93.4 meV/atom
DOS(E_F): 1.851 states/eV/atom
Final energy: -2.626 eV per atom
Calculated formation energy: 106.6 meV/atom

abc: 5.481 5.481 5.481
angles: 90.00 90.00 90.00
Fractional coordinates of all 4 atoms:
Ca (0.000, 0.500, 0.500)
Ca (0.500, 0.000, 0.500)
Ca (0.500, 0.500, 0.000)
La (0.000, 0.000, 0.000)

=====

Record 10
# CaLa

A relaxed CaLa crystal (PBE, the Alexandria database).

Properties
Polymorph energy (0 for the lowest one): 53.4 meV/atom
DOS(E_F): 2.022 states/eV/atom
Final energy: -3.390 eV per atom
Calculated formation energy: 74.6 meV/atom

abc: 6.725 6.725 6.725
angles: 32.49 32.49 32.49
Fractional coordinates of all 2 atoms:
Ca (0.000, 0.000, 0.000)
La (0.500, 0.500, 0.500)

=====

Record 11
# CaLa

A relaxed CaLa crystal (PBE, the Alexandria database).

Properties
Polymorph energy (0 for the lowest one): 15.8 meV/atom
DOS(E_F): 1.457 states/eV/atom
Final energy: -3.428 eV per atom
Calculated formation energy: 37.0 meV/atom

abc: 3.814 3.814 12.666
angles: 90.00 90.00 120.00
Fractional coordinates of all 4 atoms:
Ca (0.000, 0.000, 0.996)
Ca (0.667, 0.333, 0.254)
La (0.000, 0.000, 0.511)
La (0.667, 0.333, 0.739)

=====

Record 12
# Ca3La

A relaxed Ca3La crystal (PBE, the Alexandria database).

Properties
Polymorph energy (0 for the lowest one): 73.0 meV/atom
DOS(E_F): 1.697 states/eV/atom
Final energy: -2.647 eV per atom
Calculated formation energy: 86.2 meV/atom

abc: 6.108 6.108 6.109
angles: 119.99 119.99 90.00
Fractional coordinates of all 4 atoms:
Ca (0.750, 0.250, 0.500)
Ca (0.250, 0.750, 0.500)
Ca (0.500, 0.500, 0.000)
La (0.000, 0.000, 0.000)

=====

Record 13
# Ca2La3

A relaxed Ca2La3 crystal (PBE, the Alexandria database).

Properties
Polymorph energy (0 for the lowest one): 272.5 meV/atom
DOS(E_F): 1.196 states/eV/atom
Final energy: -3.460 eV per atom
Calculated formation energy: 297.2 meV/atom

abc: 6.294 6.294 12.943
angles: 75.93 75.93 60.00
Fractional coordinates of all 10 atoms:
Ca (0.828, 0.828, 0.515)
Ca (0.328, 0.328, 0.015)
Ca (0.172, 0.172, 0.485)
Ca (0.672, 0.672, 0.985)
La (0.129, 0.750, 0.750)
La (0.750, 0.371, 0.750)
La (0.371, 0.129, 0.750)
La (0.250, 0.629, 0.250)
La (0.629, 0.871, 0.250)
La (0.871, 0.250, 0.250)

=====

Record 14
# CaLa

A relaxed CaLa crystal (PBE, the Alexandria database).

Properties
Polymorph energy (0 for the lowest one): 292.0 meV/atom
DOS(E_F): 1.583 states/eV/atom
Final energy: -3.151 eV per atom
Calculated formation energy: 313.1 meV/atom

abc: 13.147 10.299 9.443
angles: 90.00 90.00 90.00
Fractional coordinates of all 32 atoms:
Ca (0.000, 0.326, 0.000)
Ca (0.000, 0.674, 0.000)
Ca (0.250, 0.424, 0.250)
Ca (0.250, 0.076, 0.250)
Ca (0.000, 0.826, 0.500)
Ca (0.000, 0.174, 0.500)
Ca (0.250, 0.924, 0.750)
Ca (0.250, 0.576, 0.750)
Ca (0.500, 0.326, 0.500)
Ca (0.500, 0.674, 0.500)
Ca (0.750, 0.424, 0.750)
Ca (0.750, 0.076, 0.750)
Ca (0.500, 0.826, 0.000)
Ca (0.500, 0.174, 0.000)
Ca (0.750, 0.924, 0.250)
Ca (0.750, 0.576, 0.250)
La (0.000, 0.000, 0.156)
La (0.000, 0.000, 0.844)
La (0.250, 0.750, 0.094)
La (0.250, 0.750, 0.406)
La (0.000, 0.500, 0.656)
La (0.000, 0.500, 0.344)
La (0.250, 0.250, 0.594)
La (0.250, 0.250, 0.906)
La (0.500, 0.000, 0.656)
La (0.500, 0.000, 0.344)
La (0.750, 0.750, 0.594)
La (0.750, 0.750, 0.906)
La (0.500, 0.500, 0.156)
La (0.500, 0.500, 0.844)
La (0.750, 0.250, 0.094)
La (0.750, 0.250, 0.406)

=====

Record 15
# Ca3La

A relaxed Ca3La crystal (PBE, the Alexandria database).

Properties
Polymorph energy (0 for the lowest one): 33.9 meV/atom
DOS(E_F): 1.626 states/eV/atom
Final energy: -2.686 eV per atom
Calculated formation energy: 47.0 meV/atom

abc: 3.822 3.822 12.835
angles: 90.00 90.00 120.00
Fractional coordinates of all 4 atoms:
Ca (0.000, 0.000, 0.997)
Ca (0.000, 0.000, 0.503)
Ca (0.667, 0.333, 0.250)
La (0.667, 0.333, 0.750)

=====

Record 16
# CaLa4

A relaxed CaLa4 crystal (PBE, the Alexandria database).

Properties
Polymorph energy (0 for the lowest one): 466.5 meV/atom
DOS(E_F): 1.742 states/eV/atom
Final energy: -3.641 eV per atom
Calculated formation energy: 701.0 meV/atom

abc: 5.945 5.945 5.945
angles: 90.00 90.00 90.00
Fractional coordinates of all 5 atoms:
Ca (0.500, 0.500, 0.500)
La (0.000, 0.000, 0.000)
La (0.500, 0.000, 0.500)
La (0.000, 0.500, 0.500)
La (0.500, 0.500, 0.000)

=====

Record 17
# CaLa

A relaxed CaLa crystal (PBE, the Alexandria database).

Properties
Polymorph energy (0 for the lowest one): 84.5 meV/atom
DOS(E_F): 1.677 states/eV/atom
Final energy: -3.359 eV per atom
Calculated formation energy: 105.7 meV/atom

abc: 3.878 6.142 6.654
angles: 90.00 90.00 90.00
Fractional coordinates of all 4 atoms:
Ca (0.000, 0.000, 0.993)
Ca (0.000, 0.500, 0.340)
La (0.500, 0.000, 0.506)
La (0.500, 0.500, 0.827)

=====

Record 18
# CaLa

A relaxed CaLa crystal (PBE, the Alexandria database).

Properties
Polymorph energy (0 for the lowest one): 100.0 meV/atom
DOS(E_F): 1.389 states/eV/atom
Final energy: -3.343 eV per atom
Calculated formation energy: 121.2 meV/atom

abc: 13.129 13.129 3.795
angles: 90.00 90.00 90.00
Fractional coordinates of all 16 atoms:
Ca (0.333, 0.627, 0.000)
Ca (0.667, 0.373, 0.000)
Ca (0.373, 0.333, 0.000)
Ca (0.627, 0.667, 0.000)
Ca (0.833, 0.127, 0.500)
Ca (0.167, 0.873, 0.500)
Ca (0.873, 0.833, 0.500)
Ca (0.127, 0.167, 0.500)
La (0.353, 0.055, 0.000)
La (0.647, 0.945, 0.000)
La (0.945, 0.353, 0.000)
La (0.055, 0.647, 0.000)
La (0.853, 0.555, 0.500)
La (0.147, 0.445, 0.500)
La (0.445, 0.853, 0.500)
La (0.555, 0.147, 0.500)